No. 1
Entry from OQMD: SnPd2Pb after structural relaxation (PBE-GGA).

For the density, the calculation gives 10.89 g/cm³. For the excess energy over the best structure of this formula in the dataset, the calculation gives 0.015 eV per atom. For the calculated total energy, the calculation gives -4.90 eV per atom.

a = 4.0092 Å, b = 6.4582 Å, c = 6.3431 Å
α = 90.00°, β = 90.00°, γ = 90.00°
With the nearest neighbours (Å) after each atom.
Positions (direct):
Pb: 0.0000 0.6533 0.1881  6 Pd 2.77-2.86
Pb: 0.0000 0.3467 0.6881  6 Pd 2.77-2.86
Pd: 0.0000 0.0623 0.0141  4 Sn 2.76-2.80, 2 Pb 2.77-2.86
Pd: 0.5000 0.5706 0.4902  2 Sn 2.70-2.94, 4 Pb 2.77-2.82
Pd: 0.0000 0.9377 0.5141  4 Sn 2.76-2.80, 2 Pb 2.77-2.86
Pd: 0.5000 0.4294 0.9902  2 Sn 2.70-2.94, 4 Pb 2.77-2.82
Sn: 0.5000 0.1516 0.3076  6 Pd 2.70-2.94
Sn: 0.5000 0.8484 0.8076  6 Pd 2.70-2.94

=====

No. 2
Entry from OQMD: Pr3Mg3GaAgIr after structural relaxation (PBE-GGA).

For the density, the calculation gives 6.56 g/cm³. For the calculated total energy, the calculation gives -4.19 eV per atom.

a = 7.8417 Å, b = 7.8417 Å, c = 4.1134 Å
α = 90.00°, β = 90.00°, γ = 120.00°
With the nearest neighbours (Å) after each atom.
Positions (direct):
Ag: 0.0000 0.0000 0.0000  6 Mg 2.83
Ga: 0.3333 0.6667 0.5000  3 Mg 3.01, 6 Pr 3.22
Ir: 0.6667 0.3333 0.5000  3 Mg 3.01, 6 Pr 3.02
Mg: 0.2473 0.0000 0.5000  2 Ag 2.83, 1 Ga 3.01, 1 Ir 3.01
Mg: 0.0000 0.2473 0.5000  2 Ag 2.83, 1 Ir 3.01, 1 Ga 3.01
Mg: 0.7527 0.7527 0.5000  2 Ag 2.83, 1 Ir 3.01, 1 Ga 3.01
Pr: 0.5899 0.0201 0.0000  2 Ir 3.02, 2 Ga 3.22, 1 Ag 3.30, 2 Mg 3.32
Pr: 0.4302 0.4101 0.0000  2 Ir 3.02, 2 Ga 3.22, 1 Ag 3.30, 2 Mg 3.32
Pr: 0.9799 0.5698 0.0000  2 Ir 3.02, 2 Ga 3.22, 1 Ag 3.30, 2 Mg 3.32

=====

No. 3
Entry from OQMD: YRe2Pt after structural relaxation (PBE-GGA).

For the density, the calculation gives 15.67 g/cm³. The formation enthalpy at 0 K is 0.692 eV per formula unit. For the calculated total energy, the calculation gives -9.17 eV per atom.

a = 4.6162 Å, b = 4.6162 Å, c = 4.6162 Å
α = 60.00°, β = 60.00°, γ = 60.00°
With the nearest neighbours (Å) after each atom.
Positions (direct):
Pt: 0.2500 0.2500 0.2500  4 Re 2.83, 4 Y 2.83
Re: 0.5000 0.5000 0.5000  4 Re 2.83, 4 Pt 2.83
Re: 0.7500 0.7500 0.7500  4 Re 2.83, 4 Y 2.83
Y: 0.0000 0.0000 0.0000  4 Re 2.83, 4 Pt 2.83

=====

No. 4
Entry from OQMD: Ta4CdC2S after structural relaxation (PBE-GGA).

For the density, the calculation gives 12.57 g/cm³. For the calculated total energy, the calculation gives -9.38 eV per atom.

a = 3.2235 Å, b = 3.2235 Å, c = 13.0965 Å
α = 90.00°, β = 90.00°, γ = 120.00°
With the nearest neighbours (Å) after each atom.
Positions (direct):
C: 0.3333 0.6667 0.2706  6 Ta 2.16-2.22
C: 0.3333 0.6667 0.7294  6 Ta 2.16-2.22
Cd: 0.0000 0.0000 0.0000  6 Ta 3.07, 6 Cd 3.22
S: 0.6667 0.3333 0.5000  6 Ta 2.59
Ta: 0.6667 0.3333 0.1866  3 C 2.16
Ta: 0.0000 0.0000 0.3628  3 C 2.22
Ta: 0.0000 0.0000 0.6372  3 C 2.22
Ta: 0.6667 0.3333 0.8134  3 C 2.16

=====

No. 5
Entry from OQMD: GdAs2 after structural relaxation (PBE-GGA).

For the density, the calculation gives 7.73 g/cm³. For the calculated total energy, the calculation gives -5.01 eV per atom.

a = 5.7142 Å, b = 5.7142 Å, c = 5.7142 Å
α = 60.00°, β = 60.00°, γ = 60.00°
With the nearest neighbours (Å) after each atom.
Positions (direct):
As: 0.6250 0.6250 0.1250  6 As 2.86
As: 0.6250 0.1250 0.6250  6 As 2.86
As: 0.1250 0.6250 0.6250  6 As 2.86
As: 0.6250 0.6250 0.6250  6 As 2.86
Gd: 0.0000 0.0000 0.0000  12 As 3.35, 4 Gd 3.50
Gd: 0.2500 0.2500 0.2500  12 As 3.35, 4 Gd 3.50

=====

No. 6
Entry from OQMD: LiMg2Nb after structural relaxation (PBE-GGA).

For the density, the calculation gives 3.34 g/cm³. For the calculated total energy, the calculation gives -3.32 eV per atom.

a = 4.7081 Å, b = 4.7081 Å, c = 4.7081 Å
α = 60.00°, β = 60.00°, γ = 60.00°
With the nearest neighbours (Å) after each atom.
Positions (direct):
Li: 0.5000 0.5000 0.5000  4 Mg 2.88, 4 Nb 2.88
Mg: 0.0000 0.0000 0.0000  4 Nb 2.88, 4 Mg 2.88
Mg: 0.7500 0.7500 0.7500  4 Li 2.88, 4 Mg 2.88
Nb: 0.2500 0.2500 0.2500  4 Li 2.88, 4 Mg 2.88